# 1
# PBE NdHoCdPt, optimized geometry
# E, eV per cell: -75.9
# ΔE_f, eV per atom: -0.6681
# Fermi-level density of states, states/eV/cell: 12.6
data_NdHoCdPt
_chemical_formula_sum 'Nd4 Ho4 Cd4 Pt4'
_space_group_name_H-M_alt 'F -4 3 m'
_space_group_IT_number 216
_space_group_name_Hall 'F -4 2 3'
_cell_length_a 7.3087
_cell_length_b 7.3087
_cell_length_c 7.3087
_cell_angle_alpha 90.00
_cell_angle_beta 90.00
_cell_angle_gamma 90.00
loop_
_atom_site_label
_atom_site_type_symbol
_atom_site_fract_x
_atom_site_fract_y
_atom_site_fract_z
Nd1 Nd 0.0000 0.0000 0.0000
Ho1 Ho 0.0000 0.0000 0.5000
Cd1 Cd 0.2500 0.2500 0.7500
Pt1 Pt 0.2500 0.2500 0.2500



# 2
# PBE ZrAgOs, optimized geometry
# E, eV per cell: -82.0
# ΔE_f, eV per atom: 0.7109
# Fermi-level density of states, states/eV/cell: 12.2
# Energy above the lowest structure with this stoichiometry, eV per formula unit: 1.88
data_ZrAgOs
_chemical_formula_sum 'Zr4 Ag4 Os4'
_space_group_name_H-M_alt 'F -4 3 m'
_space_group_IT_number 216
_space_group_name_Hall 'F -4 2 3'
_cell_length_a 6.3438
_cell_length_b 6.3438
_cell_length_c 6.3438
_cell_angle_alpha 90.00
_cell_angle_beta 90.00
_cell_angle_gamma 90.00
loop_
_atom_site_label
_atom_site_type_symbol
_atom_site_fract_x
_atom_site_fract_y
_atom_site_fract_z
Zr1 Zr 0.0000 0.0000 0.0000
Ag1 Ag 0.2500 0.2500 0.2500
Os1 Os 0.2500 0.2500 0.7500